# Pr12SmPb3

Pr12SmPb3 after structural relaxation (GGA-PBE, Alexandria).

The calculation puts the energy relative to the elements at -0.245 eV/atom. Its density of states at the Fermi level is 1.13 states/eV/atom.

The structure belongs to space group P4/mmm (No. 123); the cell edges are 5.052, 5.052 and 20.626 Å and the angles 90.00°, 90.00° and 90.00°. The distinct sites, in fractional coordinates, are Pr at (0.000, 0.000, 0.000), Pr at (0.000, 0.000, 0.244), Pr at (0.000, 0.000, 0.500), Pr at (0.000, 0.500, 0.122), Pr at (0.000, 0.500, 0.368), Sm at (0.500, 0.500, 0.500), Pb at (0.500, 0.500, 0.000) and Pb at (0.500, 0.500, 0.245).